La3Sm5Dy4: relaxed, PBE.

```
12
Lattice="-0.486 5.991 -0.336 -8.367 2.363 0.302 4.163 3.809 7.972" Properties=species:S:1:pos:R:3 pbc="T T T"
La -4.868 5.781 2.262
La -2.102 3.086 4.137
La 0.178 6.382 5.676
Sm -4.931 9.037 6.465
Sm -2.345 6.082 3.969
Sm -3.448 2.796 0.908
Sm -1.242 9.368 7.030
Sm 0.241 3.127 1.473
Dy -2.016 5.901 0.274
Dy 2.163 3.479 4.983
Dy -6.853 8.684 2.955
Dy -2.674 6.262 7.664
```

Calculated values
* space-group type: C2/m (12)
* ΔE to the lowest computed polymorph: 0.205 eV/atom